[1]
VASP calculation (PBE) on a relaxed TiS crystal.

a b c (Å): 9.116 9.116 9.116
angles (deg): 21.77 21.77 21.77
Sites, in units of the cell vectors:
S 0.000 0.000 0.000
S 0.777 0.777 0.777
S 0.223 0.223 0.223
Ti 0.500 0.500 0.500
Ti 0.618 0.618 0.618
Ti 0.382 0.382 0.382

**Symmetry**: No. 166
**Total DFT energy (no corrections)**: -7.355 eV per atom

---

[2]
VASP calculation (PBE) on a relaxed TiTlS2 crystal.

a b c (Å): 20.341 7.268 7.268
angles (deg): 93.46 117.66 62.34
Sites, in units of the cell vectors:
Tl 0.094 0.171 0.233
Tl 0.406 0.733 0.671
Tl 0.906 0.829 0.767
Tl 0.594 0.267 0.329
Tl 0.389 0.292 0.552
Tl 0.111 0.052 0.792
Tl 0.611 0.708 0.448
Tl 0.889 0.948 0.208
S 0.058 0.721 0.680
S 0.442 0.180 0.221
S 0.942 0.279 0.320
S 0.558 0.820 0.779
S 0.774 0.232 0.362
S 0.726 0.862 0.732
S 0.226 0.768 0.638
S 0.274 0.138 0.268
S 0.407 0.683 0.086
S 0.093 0.586 0.183
S 0.593 0.317 0.914
S 0.907 0.414 0.817
S 0.750 0.336 0.836
S 0.250 0.664 0.164
S 0.750 0.722 0.222
S 0.250 0.278 0.778
Ti 0.315 0.503 0.965
Ti 0.185 0.465 0.003
Ti 0.685 0.497 0.035
Ti 0.815 0.535 0.997
Ti 0.350 0.042 0.092
Ti 0.150 0.592 0.542
Ti 0.650 0.958 0.908
Ti 0.850 0.408 0.458

**Symmetry**: No. 15
**Total DFT energy (no corrections)**: -5.560 eV per atom

---

[3]
VASP calculation (PBE) on a relaxed TiTl2S3 crystal.

a b c (Å): 7.002 7.545 15.298
angles (deg): 88.46 86.67 62.35
Sites, in units of the cell vectors:
Ti 0.737 0.990 0.168
Ti 0.272 0.990 0.332
Ti 0.263 0.010 0.832
Ti 0.728 0.010 0.668
Tl 0.573 0.397 0.349
Tl 0.030 0.397 0.151
Tl 0.427 0.603 0.651
Tl 0.970 0.603 0.849
Tl 0.349 0.793 0.059
Tl 0.858 0.793 0.441
Tl 0.651 0.207 0.941
Tl 0.142 0.207 0.559
S 0.594 0.813 0.250
S 0.406 0.187 0.750
S 0.510 0.304 0.134
S 0.186 0.304 0.366
S 0.490 0.696 0.866
S 0.814 0.696 0.634
S 0.695 0.184 0.545
S 0.121 0.184 0.955
S 0.305 0.816 0.455
S 0.879 0.816 0.045
S 0.006 0.988 0.250
S 0.994 0.012 0.750

**Symmetry**: No. 15
**Total DFT energy (no corrections)**: -4.988 eV per atom

---

[4]
VASP calculation (PBE) on a relaxed TiTl2S3 crystal.

a b c (Å): 6.600 7.214 7.214
angles (deg): 71.41 85.98 85.98
Sites, in units of the cell vectors:
Ti 0.750 0.923 0.077
Ti 0.250 0.077 0.923
Tl 0.692 0.189 0.503
Tl 0.192 0.503 0.189
Tl 0.808 0.497 0.811
Tl 0.308 0.811 0.497
S 0.250 0.341 0.659
S 0.750 0.659 0.341
S 0.007 0.874 0.847
S 0.493 0.153 0.126
S 0.507 0.847 0.874
S 0.993 0.126 0.153

**Symmetry**: No. 15
**Total DFT energy (no corrections)**: -5.004 eV per atom

---

[5]
VASP calculation (PBE) on a relaxed Ti2TlS4 crystal.

a b c (Å): 3.447 5.935 8.686
angles (deg): 110.68 101.44 90.00
Sites, in units of the cell vectors:
Ti 0.249 0.246 0.497
Ti 0.751 0.754 0.503
Tl 0.500 0.500 0.000
S 0.659 0.989 0.317
S 0.341 0.011 0.683
S 0.160 0.492 0.321
S 0.840 0.508 0.679

**Symmetry**: No. 12
**Total DFT energy (no corrections)**: -6.136 eV per atom

---

[6]
VASP calculation (PBE) on a relaxed TiTlS2 crystal.

a b c (Å): 7.359 4.442 11.226
angles (deg): 90.00 90.00 90.00
Sites, in units of the cell vectors:
Tl 0.399 0.250 0.369
Tl 0.101 0.750 0.869
Tl 0.601 0.750 0.631
Tl 0.899 0.250 0.131
S 0.841 0.250 0.439
S 0.659 0.750 0.939
S 0.159 0.750 0.561
S 0.341 0.250 0.061
S 0.350 0.250 0.747
S 0.150 0.750 0.247
S 0.650 0.750 0.253
S 0.850 0.250 0.753
Ti 0.052 0.250 0.600
Ti 0.448 0.750 0.100
Ti 0.948 0.750 0.400
Ti 0.552 0.250 0.900

**Symmetry**: No. 62
**Total DFT energy (no corrections)**: -5.540 eV per atom

---

[7]
VASP calculation (PBE) on a relaxed Ti2Tl2S crystal.

a b c (Å): 6.394 6.394 4.933
angles (deg): 90.00 90.00 90.00
Sites, in units of the cell vectors:
Tl 0.166 0.666 0.500
Tl 0.666 0.834 0.500
Tl 0.834 0.334 0.500
Tl 0.334 0.166 0.500
S 0.000 0.000 0.000
S 0.500 0.500 0.000
Ti 0.336 0.836 0.000
Ti 0.836 0.664 0.000
Ti 0.664 0.164 0.000
Ti 0.164 0.336 0.000

**Symmetry**: No. 127
**Total DFT energy (no corrections)**: -5.294 eV per atom

---

[8]
VASP calculation (PBE) on a relaxed TiTl4S4 crystal.

a b c (Å): 8.435 8.510 15.908
angles (deg): 74.04 90.00 90.00
Sites, in units of the cell vectors:
Ti 0.890 0.208 0.622
Ti 0.390 0.792 0.878
Ti 0.110 0.792 0.378
Ti 0.610 0.208 0.122
Tl 0.723 0.611 0.360
Tl 0.223 0.389 0.140
Tl 0.277 0.389 0.640
Tl 0.777 0.611 0.860
Tl 0.894 0.176 0.381
Tl 0.394 0.824 0.119
Tl 0.106 0.824 0.619
Tl 0.606 0.176 0.881
Tl 0.317 0.414 0.390
Tl 0.817 0.586 0.110
Tl 0.683 0.586 0.610
Tl 0.183 0.414 0.890
Tl 0.489 0.030 0.363
Tl 0.989 0.970 0.137
Tl 0.511 0.970 0.637
Tl 0.011 0.030 0.863
S 0.107 0.189 0.539
S 0.607 0.811 0.961
S 0.893 0.811 0.461
S 0.393 0.189 0.039
S 0.673 0.297 0.539
S 0.173 0.703 0.961
S 0.327 0.703 0.461
S 0.827 0.297 0.039
S 0.945 0.381 0.705
S 0.445 0.619 0.795
S 0.055 0.619 0.295
S 0.555 0.381 0.205
S 0.839 0.952 0.711
S 0.339 0.048 0.789
S 0.161 0.048 0.289
S 0.661 0.952 0.211

**Symmetry**: No. 14
**Total DFT energy (no corrections)**: -4.487 eV per atom